# Nd3Ge2I (GGA-PBE, relaxed)
data_Nd3Ge2I
_chemical_formula_sum 'Nd6 Ge4 I2'
_symmetry_space_group_name_H-M 'P 1'
_symmetry_Int_Tables_number 1
_symmetry_space_group_name_Hall 'P 1'
_cell_length_a 4.6587
_cell_length_b 7.8948
_cell_length_c 9.7906
_cell_angle_alpha 90.00
_cell_angle_beta 90.00
_cell_angle_gamma 107.16
loop_
_atom_site_label
_atom_site_fract_x
_atom_site_fract_y
_atom_site_fract_z
_atom_site_occupancy
Nd1 0.3703 0.7406 0.5380 1
Nd2 0.1237 0.2474 0.7500 1
Nd3 0.8763 0.7526 0.2500 1
Nd4 0.6297 0.2594 0.4620 1
Nd5 0.6297 0.2594 0.0380 1
Nd6 0.3703 0.7406 0.9620 1
Ge1 0.0000 0.0000 0.5000 1
Ge2 0.4918 0.9835 0.2500 1
Ge3 0.0000 0.0000 0.0000 1
Ge4 0.5082 0.0165 0.7500 1
I1 0.2224 0.4448 0.2500 1
I2 0.7776 0.5552 0.7500 1
# Formation energy without anion corrections   -605 meV/atom
# Space-group type   Cmcm
# E_tot   -4.7867 eV/atom

***

# AuCS2Cl3 (GGA-PBE, relaxed)
data_AuCS2Cl3
_chemical_formula_sum 'Au4 C4 S8 Cl12'
_symmetry_space_group_name_H-M 'P 1'
_symmetry_Int_Tables_number 1
_symmetry_space_group_name_Hall 'P 1'
_cell_length_a 9.3986
_cell_length_b 9.3986
_cell_length_c 11.8197
_cell_angle_alpha 66.16
_cell_angle_beta 66.16
_cell_angle_gamma 69.26
loop_
_atom_site_label
_atom_site_fract_x
_atom_site_fract_y
_atom_site_fract_z
_atom_site_occupancy
Cl1 0.1952 0.1324 0.6045 1
Cl2 0.4463 0.2351 0.8293 1
Cl3 0.8676 0.8048 0.8955 1
Cl4 0.4255 0.7033 0.5517 1
Cl5 0.1324 0.1952 0.1045 1
Cl6 0.2967 0.5745 0.9483 1
Cl7 0.5537 0.7649 0.1707 1
Cl8 0.8048 0.8676 0.3955 1
Cl9 0.7649 0.5537 0.6707 1
Cl10 0.5745 0.2967 0.4483 1
Cl11 0.2351 0.4463 0.3293 1
Cl12 0.7033 0.4255 0.0517 1
Au1 0.7080 0.9541 0.0381 1
Au2 0.9541 0.7080 0.5381 1
Au3 0.0459 0.2920 0.4619 1
Au4 0.2920 0.0459 0.9619 1
S1 0.1688 0.8356 0.4281 1
S2 0.1644 0.8312 0.0719 1
S3 0.8312 0.1644 0.5719 1
S4 0.5748 0.1358 0.1596 1
S5 0.8356 0.1688 0.9281 1
S6 0.1358 0.5748 0.6596 1
S7 0.8642 0.4252 0.3404 1
S8 0.4252 0.8642 0.8404 1
C1 0.2487 0.7046 0.5470 1
C2 0.2954 0.7513 0.9530 1
C3 0.7046 0.2487 0.0470 1
C4 0.7513 0.2954 0.4530 1
# Formation energy without anion corrections   -99 meV/atom
# Space-group type   C2/c
# E_tot   -3.8558 eV/atom

***

# CeNd3N3 (GGA-PBE, relaxed)
data_CeNd3N3
_chemical_formula_sum 'Ce2 Nd6 N6'
_symmetry_space_group_name_H-M 'P 1'
_symmetry_Int_Tables_number 1
_symmetry_space_group_name_Hall 'P 1'
_cell_length_a 7.7468
_cell_length_b 6.4988
_cell_length_c 6.4988
_cell_angle_alpha 108.13
_cell_angle_beta 97.19
_cell_angle_gamma 97.19
loop_
_atom_site_label
_atom_site_fract_x
_atom_site_fract_y
_atom_site_fract_z
_atom_site_occupancy
N1 0.3974 0.7915 0.5217 1
N2 0.7563 0.9940 0.9940 1
N3 0.6026 0.4783 0.2085 1
N4 0.3974 0.5217 0.7915 1
N5 0.2437 0.0060 0.0060 1
N6 0.6026 0.2085 0.4783 1
Nd1 0.0000 0.1673 0.8327 1
Nd2 0.5000 0.8090 0.1910 1
Nd3 0.3486 0.3266 0.3266 1
Nd4 0.5000 0.1910 0.8090 1
Nd5 0.0000 0.8327 0.1673 1
Nd6 0.6514 0.6734 0.6734 1
Ce1 0.8022 0.3020 0.3020 1
Ce2 0.1978 0.6980 0.6980 1
# Formation energy without anion corrections   -929 meV/atom
# Space-group type   C2/m
# E_tot   -7.3878 eV/atom

***

# Na6TlIn (GGA-PBE, relaxed)
data_Na6TlIn
_chemical_formula_sum 'Na6 Tl1 In1'
_symmetry_space_group_name_H-M 'P 1'
_symmetry_Int_Tables_number 1
_symmetry_space_group_name_Hall 'P 1'
_cell_length_a 8.7120
_cell_length_b 8.7147
_cell_length_c 6.2495
_cell_angle_alpha 45.81
_cell_angle_beta 45.82
_cell_angle_gamma 59.99
loop_
_atom_site_label
_atom_site_fract_x
_atom_site_fract_y
_atom_site_fract_z
_atom_site_occupancy
Na1 0.2512 0.0036 0.2475 1
Na2 0.7488 0.9964 0.7525 1
Na3 0.4971 0.2513 0.2494 1
Na4 0.0026 0.4983 0.2479 1
Na5 0.9974 0.5017 0.7521 1
Na6 0.5029 0.7487 0.7506 1
Tl1 0.0000 0.0000 0.0000 1
In1 0.5000 0.5000 0.5000 1
# Space-group type   R-3
# ΔH_f (0 K)   -0.047 eV per atom
# E_tot   -1.6739 eV/atom

***

# Ca4PaN4 (GGA-PBE, relaxed)
data_Ca4PaN4
_chemical_formula_sum 'Ca4 Pa1 N4'
_symmetry_space_group_name_H-M 'P 1'
_symmetry_Int_Tables_number 1
_symmetry_space_group_name_Hall 'P 1'
_cell_length_a 4.7798
_cell_length_b 6.3208
_cell_length_c 6.3182
_cell_angle_alpha 81.84
_cell_angle_beta 67.77
_cell_angle_gamma 67.78
loop_
_atom_site_label
_atom_site_fract_x
_atom_site_fract_y
_atom_site_fract_z
_atom_site_occupancy
N1 0.7453 0.1709 0.3384 1
N2 0.9164 0.3377 0.8296 1
N3 0.2547 0.8291 0.6616 1
N4 0.0836 0.6623 0.1704 1
Ca1 0.3743 0.4455 0.8059 1
Ca2 0.6257 0.5545 0.1941 1
Ca3 0.1805 0.1935 0.4456 1
Ca4 0.8195 0.8065 0.5544 1
Pa1 0.0000 0.0000 0.0000 1
# Formation energy without anion corrections   -1129 meV/atom
# Space-group type   C2/m
# E_tot   -6.7736 eV/atom

***

# CsSnN2O (GGA-PBE, relaxed)
data_CsSnN2O
_chemical_formula_sum 'Cs1 Sn1 N2 O1'
_symmetry_space_group_name_H-M 'P 1'
_symmetry_Int_Tables_number 1
_symmetry_space_group_name_Hall 'P 1'
_cell_length_a 4.4013
_cell_length_b 4.4013
_cell_length_c 4.4727
_cell_angle_alpha 90.00
_cell_angle_beta 90.00
_cell_angle_gamma 90.00
loop_
_atom_site_label
_atom_site_fract_x
_atom_site_fract_y
_atom_site_fract_z
_atom_site_occupancy
Cs1 0.0000 0.0000 0.0000 1
O1 0.0000 0.0000 0.5000 1
Sn1 0.5000 0.5000 0.5000 1
N1 0.0000 0.5000 0.0000 1
N2 0.5000 0.0000 0.0000 1
# Formation energy without anion corrections   1926 meV/atom
# Space-group type   P4/mmm
# E_tot   -3.3673 eV/atom

***

# MgCd2As2 (GGA-PBE, relaxed)
data_MgCd2As2
_chemical_formula_sum 'Mg2 Cd4 As4'
_symmetry_space_group_name_H-M 'P 1'
_symmetry_Int_Tables_number 1
_symmetry_space_group_name_Hall 'P 1'
_cell_length_a 7.5383
_cell_length_b 7.5383
_cell_length_c 3.9708
_cell_angle_alpha 90.00
_cell_angle_beta 90.00
_cell_angle_gamma 90.00
loop_
_atom_site_label
_atom_site_fract_x
_atom_site_fract_y
_atom_site_fract_z
_atom_site_occupancy
Mg1 0.0000 0.0000 0.0000 1
Mg2 0.5000 0.5000 0.0000 1
Cd1 0.8638 0.3638 0.5000 1
Cd2 0.1362 0.6362 0.5000 1
Cd3 0.6362 0.8638 0.5000 1
Cd4 0.3638 0.1362 0.5000 1
As1 0.6782 0.1782 0.0000 1
As2 0.8218 0.6782 0.0000 1
As3 0.1782 0.3218 0.0000 1
As4 0.3218 0.8218 0.0000 1
# Space-group type   P4/mbm
# ΔH_f (0 K)   -0.027 eV per atom
# E_tot   -2.5720 eV/atom

***

# SmCuP (GGA-PBE, relaxed)
data_SmCuP
_chemical_formula_sum 'Sm1 Cu1 P1'
_symmetry_space_group_name_H-M 'P 1'
_symmetry_Int_Tables_number 1
_symmetry_space_group_name_Hall 'P 1'
_cell_length_a 4.9645
_cell_length_b 4.9645
_cell_length_c 4.0181
_cell_angle_alpha 90.08
_cell_angle_beta 113.75
_cell_angle_gamma 132.29
loop_
_atom_site_label
_atom_site_fract_x
_atom_site_fract_y
_atom_site_fract_z
_atom_site_occupancy
Cu1 0.8992 0.4945 0.3937 1
P1 0.5070 0.1905 0.6976 1
Sm1 0.9271 0.9816 0.9087 1
# Space-group type   Cm
# ΔH_f (0 K)   -0.726 eV per atom
# E_tot   -5.4681 eV/atom